This record from Alexandria describes MnCoSb2 at its PBEsol-relaxed geometry. The functional is meta-GGA SCAN.

```
16
Lattice="6.646 0.000 0.000 0.000 6.646 0.000 0.000 0.000 6.646" Properties=species:S:1:pos:R:3 pbc="T T T"
Mn 0.000 0.000 0.000
Mn 0.000 3.323 3.323
Mn 3.323 0.000 3.323
Mn 3.323 3.323 0.000
Co 1.662 1.662 4.985
Co 1.662 4.985 1.662
Co 4.985 1.662 1.662
Co 4.985 4.985 4.985
Sb 0.000 0.000 3.323
Sb 0.000 3.323 0.000
Sb 1.662 1.662 1.662
Sb 1.662 4.985 4.985
Sb 3.323 0.000 0.000
Sb 3.323 3.323 3.323
Sb 4.985 1.662 4.985
Sb 4.985 4.985 1.662
```

- Polymorph energy (0 for the lowest one): 431.4 meV per atom
- SG: F-43m, No. 216